Compound: K3TaTe
Source: Alexandria
Functional: PBE
Structure: relaxed

Computed properties:
Offset from the most stable computed form (meV per atom): 292.9
ΔE_f (raw) (kJ/mol of formula units): 529
Space-group type: Pm-3m (221)

Unit cell a=6.4057 b=6.4057 c=6.4057 alpha=90.00 beta=90.00 gamma=90.00
Last column: nearest neighbours and their distance in Å.
Sites, in units of the cell vectors:
K 0.0000 0.0000 0.5000  2 Ta 3.20
K 0.0000 0.5000 0.0000  2 Ta 3.20
K 0.5000 0.0000 0.0000  2 Ta 3.20
Ta 0.0000 0.0000 0.0000  6 K 3.20
Te 0.5000 0.5000 0.5000  12 K 4.53

Compound: CuSe3Cl
Source: Alexandria
Functional: PBE
Structure: relaxed

Computed properties:
ΔE_f (raw) (kJ/mol of formula units): 266
Space-group type: Pm-3m (221)

Unit cell a=4.7732 b=4.7732 c=4.7732 alpha=90.00 beta=90.00 gamma=90.00
Last column: nearest neighbours and their distance in Å.
Sites, in units of the cell vectors:
Cu 0.0000 0.0000 0.0000  6 Se 2.39
Se 0.0000 0.0000 0.5000  2 Cu 2.39
Se 0.0000 0.5000 0.0000  2 Cu 2.39
Se 0.5000 0.0000 0.0000  2 Cu 2.39
Cl 0.5000 0.5000 0.5000  12 Se 3.38

Compound: KNiGe2
Source: Alexandria
Functional: PBE
Structure: relaxed

Computed properties:
ΔE_f (eV/atom): 0.474
Space-group type: Fm-3m (225)

Unit cell a=4.7352 b=4.7352 c=4.7352 alpha=60.00 beta=60.00 gamma=60.00
Last column: nearest neighbours and their distance in Å.
Sites, in units of the cell vectors:
K 0.0000 0.0000 0.0000  8 Ge 2.90
Ni 0.5000 0.5000 0.5000  8 Ge 2.90
Ge 0.2500 0.2500 0.2500  4 Ni 2.90, 4 K 2.90
Ge 0.7500 0.7500 0.7500  4 Ni 2.90, 4 K 2.90

Compound: Fe2Ni4Pd
Source: Alexandria
Functional: PBE
Structure: relaxed

Computed properties:
ΔE_f (eV/atom): 0.219
Space-group type: I4/mmm (139)

Unit cell a=8.8152 b=8.8152 c=8.8152 alpha=158.82 beta=158.82 gamma=30.13
Last column: nearest neighbours and their distance in Å.
Sites, in units of the cell vectors:
Fe 0.0917 0.0917 0.0000  4 Ni 2.47
Fe 0.9083 0.9083 0.0000  4 Ni 2.47
Ni 0.2500 0.7500 0.5000  8 Ni 2.29-2.40
Ni 0.3538 0.3538 0.0000  4 Ni 2.40, 4 Fe 2.47, 1 Pd 2.49
Ni 0.6462 0.6462 0.0000  4 Ni 2.40, 4 Fe 2.47, 1 Pd 2.49
Ni 0.7500 0.2500 0.5000  8 Ni 2.29-2.40
Pd 0.5000 0.5000 0.0000  2 Ni 2.49, 8 Fe 2.77

Q: Which formula does entry 3 have?
A: KNiGe2

Q: Which formula does entry 2 have?
A: CuSe3Cl